No. 1
Here is AcTb2DyHo6 after structural relaxation from Alexandria via LeMat-Bulk. Energies are from GGA-PBE.

```
20
Lattice="9.066 -1.971 -2.045 0.974 8.593 -2.059 0.974 -2.376 8.511" Properties=species:S:1:pos:R:3 pbc="T T T"
Ho 1.385 -0.774 5.989
Ho 6.757 1.320 3.790
Ho 8.790 -0.477 1.925
Ho 8.809 -0.150 5.784
Ho 2.205 4.397 -1.377
Ho 4.257 2.927 0.618
Ho 6.738 -2.525 3.320
Ho 9.629 5.020 -1.582
Ho 2.224 4.723 2.482
Ho 5.096 -0.782 5.981
Ho 4.276 6.771 1.087
Ho 5.918 5.028 -1.574
Tb 10.070 2.110 3.448
Tb 5.537 4.353 3.258
Tb 5.477 -0.106 1.149
Tb 0.944 2.137 0.959
Ac 3.240 7.778 -2.260
Ac 7.773 -3.532 6.667
Dy 3.240 1.646 3.649
Dy 7.773 2.600 0.758
```

Computed properties:
Space-group type: C2/c, No. 15
ΔE_f in meV per atom: 131.5
Final energy in eV for the cell shown: -88.24
Magnetic moment in μB per cell: 0.0



No. 2
Here is NaNd2Dy after structural relaxation from Alexandria via LeMat-Bulk. Energies are from GGA-PBE.

```
4
Lattice="-1.181 3.344 0.417 -2.404 0.742 2.534 8.337 3.685 9.349" Properties=species:S:1:pos:R:3 pbc="T T T"
Dy 2.376 3.885 6.150
Nd -0.952 4.727 5.262
Nd 5.704 3.043 7.038
Na 0.000 0.000 0.000
```

Computed properties:
Space-group type: R-3m, No. 166
ΔE_f in meV per atom: 127.3
Final energy in eV for the cell shown: -14.95
Magnetic moment in μB per cell: 0.0
Offset from the most stable computed form in kJ per mole of atoms: 3.0



No. 3
Here is LaZr2Tc2 after structural relaxation from Alexandria via LeMat-Bulk. Energies are from GGA-PBE.

```
5
Lattice="-3.699 -1.919 -1.610 2.077 -0.745 -3.884 0.995 -6.444 -0.802" Properties=species:S:1:pos:R:3 pbc="T T T"
Zr -1.757 -4.847 -2.580
Zr 1.131 -4.260 -3.717
La 0.000 0.000 0.000
Tc -0.207 -6.668 -3.971
Tc -0.420 -2.439 -2.326
```

Computed properties:
Space-group type: I4/mmm, No. 139
ΔE_f in meV per atom: -35.0
Final energy in eV for the cell shown: -42.93
Magnetic moment in μB per cell: 0.0
Offset from the most stable computed form in kJ per mole of atoms: 0.0



What did the third record say?
Here is LaZr2Tc2 after structural relaxation from Alexandria via LeMat-Bulk. Energies are from GGA-PBE.

```
5
Lattice="-3.699 -1.919 -1.610 2.077 -0.745 -3.884 0.995 -6.444 -0.802" Properties=species:S:1:pos:R:3 pbc="T T T"
Zr -1.757 -4.847 -2.580
Zr 1.131 -4.260 -3.717
La 0.000 0.000 0.000
Tc -0.207 -6.668 -3.971
Tc -0.420 -2.439 -2.326
```

Computed properties:
Space-group type: I4/mmm, No. 139
ΔE_f in meV per atom: -35.0
Final energy in eV for the cell shown: -42.93
Magnetic moment in μB per cell: 0.0
Offset from the most stable computed form in kJ per mole of atoms: 0.0